1:
A plane-wave DFT calculation with PBE-GGA was carried out for a relaxed structure of Li2Zn4Ga5.

Computed properties:
The value obtained for the volume is 189.0 Å³/f.u. As for the density of states at the Fermi level: 2.41 states/eV/f.u.

Unit cell a=5.198 b=7.821 c=9.298 alpha=90.00 beta=90.00 gamma=90.00
Space group Immm (No. 71)
Unique sites:
Li (0.000, 0.000, 0.162) x4
Zn (0.000, 0.326, 0.260) x8
Ga (0.000, 0.500, 0.500) x2
Ga (0.249, 0.327, 0.000) x8

2:
A plane-wave DFT calculation with PBE-GGA was carried out for a relaxed structure of Li2Zn4Ga5.

Computed properties:
The value obtained for the volume is 198.9 Å³/f.u. As for the density of states at the Fermi level: 3.83 states/eV/f.u.

Unit cell a=18.866 b=4.135 c=5.200 alpha=90.00 beta=101.22 gamma=90.00
Space group C2/m (No. 12)
Unique sites:
Li (0.073, 0.000, 0.018) x4
Zn (0.021, 0.500, 0.242) x4
Zn (0.204, 0.000, 0.933) x4
Ga (0.000, 0.000, 0.500) x2
Ga (0.126, 0.500, 0.688) x4
Ga (0.177, 0.500, 0.253) x4

Energy comparison, zero being the most stable, in eV/atom: 1 0.000; 2 0.057.

1:
A plane-wave DFT calculation with PBE-GGA was carried out for a relaxed structure of Li5Zn2Ga4.

Computed properties:
The value obtained for the volume is 181.6 Å³/f.u. As for the density of states at the Fermi level: 3.48 states/eV/f.u.

Unit cell a=6.555 b=14.068 c=3.939 alpha=90.00 beta=90.00 gamma=90.00
Space group Pbam (No. 55)
Unique sites:
Li (0.000, 0.000, 0.000) x2
Li (0.102, 0.419, 0.000) x4
Li (0.209, 0.197, 0.000) x4
Zn (0.017, 0.301, 0.500) x4
Ga (0.107, 0.869, 0.500) x4
Ga (0.219, 0.549, 0.500) x4

2:
A plane-wave DFT calculation with PBE-GGA was carried out for a relaxed structure of Li5Zn2Ga4.

Computed properties:
The value obtained for the volume is 187.7 Å³/f.u. As for the density of states at the Fermi level: 3.92 states/eV/f.u.

Unit cell a=18.677 b=3.129 c=6.509 alpha=90.00 beta=99.21 gamma=90.00
Space group C2/m (No. 12)
Unique sites:
Li (0.000, 0.000, 0.000) x2
Li (0.130, 0.500, 0.033) x4
Li (0.183, 0.500, 0.482) x4
Zn (0.226, 0.000, 0.837) x4
Ga (0.040, 0.500, 0.332) x4
Ga (0.086, 0.000, 0.678) x4

Energy comparison, zero being the most stable, in eV/atom: 1 0.000; 2 0.026.

1:
A plane-wave DFT calculation with PBE-GGA was carried out for a relaxed structure of LiZn12Ga6.

Computed properties:
The value obtained for the volume is 314.4 Å³/f.u. As for the density of states at the Fermi level: 5.65 states/eV/f.u.

Unit cell a=11.2115 b=11.2115 c=8.6641 alpha=90.00 beta=90.00 gamma=120.00
Space group R-3 (No. 148, hexagonal axes)
Unique sites:
Li (0.0000, 0.0000, 0.0000) x3
Zn (0.0146, 0.7794, 0.5481) x18
Zn (0.0666, 0.5818, 0.6290) x18
Ga (0.0311, 0.8698, 0.2551) x18

2:
A plane-wave DFT calculation with PBE-GGA was carried out for a relaxed structure of LiZn12Ga6.

Computed properties:
The value obtained for the volume is 314.3 Å³/f.u. As for the density of states at the Fermi level: 5.43 states/eV/f.u.

Unit cell a=11.2381 b=11.2381 c=8.6195 alpha=90.00 beta=90.00 gamma=120.00
Space group R-3 (No. 148, hexagonal axes)
Unique sites:
Li (0.0000, 0.0000, 0.0000) x3
Zn (0.0171, 0.7713, 0.0398) x18
Zn (0.0738, 0.5815, 0.1222) x18
Ga (0.0385, 0.8740, 0.7467) x18

Energy comparison, zero being the most stable, in eV/atom: 1 0.000; 2 0.005.